(1)
Tb4Pm9Y11 | Alexandria via LeMat-Bulk | PBE-GGA | relaxed; E = -131.26 eV/f.u.; SG = Cmmm (65)
1.0
-0.144 0.580 3.692
-14.569 -4.577 0.150
9.887 -11.432 2.184
Tb Pm Y
4 9 11
Direct
0.500 0.245 0.446
0.500 0.446 0.245
0.500 0.554 0.755
0.500 0.755 0.554
0.500 0.214 0.067
0.500 0.163 0.631
0.500 0.837 0.369
0.500 0.369 0.837
0.500 0.067 0.214
0.500 0.500 0.500
0.500 0.631 0.163
0.500 0.786 0.933
0.500 0.933 0.786
0.000 0.633 0.367
0.000 0.000 0.000
0.000 0.367 0.633
0.000 0.954 0.594
0.000 0.290 0.290
0.000 0.046 0.406
0.000 0.840 0.160
0.000 0.406 0.046
0.000 0.710 0.710
0.000 0.594 0.954
0.000 0.160 0.840

(2)
TaZn2Ir | Alexandria via LeMat-Bulk | PBE-GGA | relaxed; E = -23.46 eV/f.u.; SG = Pmmm (47)
1.0
-1.453 1.832 1.632
1.926 -1.370 3.252
3.824 3.671 -0.718
Zn Ir Ta
2 1 1
Direct
0.000 0.000 0.487
0.000 0.000 0.013
0.500 0.500 0.250
0.500 0.500 0.750

(3)
TiCuSn2N | Alexandria via LeMat-Bulk | PBE-GGA | relaxed; energy relative to the elements, uncorrected = 460 meV/atom; SG = P4/mmm (123)
1.0
5.426 0.000 0.000
0.000 3.777 0.000
0.000 0.000 5.426
Cu Sn N Ti
1 2 1 1
Direct
0.500 0.500 0.500
0.000 0.000 0.500
0.500 0.000 0.000
0.000 0.500 0.000
0.000 0.000 0.000

(4)
Zr6ReRh5 | Alexandria via LeMat-Bulk | PBE-GGA | relaxed; E = -108.88 eV/f.u.; SG = Immm (71)
1.0
4.467 0.004 -1.374
-0.725 6.137 -2.339
0.038 -0.478 8.068
Zr Rh Re
6 5 1
Direct
0.500 0.751 0.000
0.500 0.249 0.000
0.166 0.415 0.331
0.166 0.916 0.331
0.834 0.084 0.669
0.834 0.585 0.669
0.000 0.500 0.000
0.335 0.835 0.669
0.329 0.329 0.659
0.671 0.671 0.341
0.665 0.165 0.331
0.000 0.000 0.000

(5)
PmGa3RuRh | Alexandria via LeMat-Bulk | PBE-GGA | relaxed; E = -33.09 eV/f.u.; SG = Cmcm (63)
1.0
-5.127 -2.621 0.504
1.264 -1.009 7.617
-2.954 5.239 -2.796
Ga Pm Rh Ru
6 2 2 2
Direct
0.750 0.695 0.389
0.000 0.240 0.000
0.500 0.760 0.000
0.250 0.305 0.611
0.000 0.760 0.000
0.500 0.240 0.000
0.250 0.789 0.578
0.750 0.211 0.422
0.250 0.532 0.063
0.750 0.468 0.937
0.250 0.081 0.162
0.750 0.919 0.838

(6)
ErFeSb | Alexandria via LeMat-Bulk | PBE-GGA | relaxed; energy relative to the elements, uncorrected = -404 meV/atom; SG = P2_1/m (11)
1.0
4.953 -1.678 0.000
1.311 3.871 0.227
0.528 -0.555 6.409
Fe Sb Er
2 2 2
Direct
0.111 0.750 0.959
0.889 0.250 0.041
0.780 0.750 0.287
0.220 0.250 0.713
0.669 0.750 0.776
0.331 0.250 0.224